A relaxed structure of AcCdSnPd3. Source: Alexandria via LeMat-Bulk, functional GGA-PBE.

The structure in POSCAR format:
```
AcCdSnPd3
1.0
3.104 -6.321 0.000
3.104 6.321 0.000
0.000 0.000 7.159
Ac Cd Sn Pd
2 2 2 6
direct
0.171 0.829 0.750 Ac
0.829 0.171 0.250 Ac
0.426 0.574 0.750 Cd
0.574 0.426 0.250 Cd
0.132 0.868 0.250 Sn
0.868 0.132 0.750 Sn
0.223 0.223 0.000 Pd
0.223 0.223 0.500 Pd
0.345 0.655 0.250 Pd
0.655 0.345 0.750 Pd
0.777 0.777 0.000 Pd
0.777 0.777 0.500 Pd
```

Results
Total moment = 0.000 μB/cell
D(E_F) = 8.6 states/eV/cell
Formation energy from the elements = -47 kJ/mol of atoms